No. 1
DFT (GGA-PBEsol) results for a relaxed SrCr2Cl crystal.

Cell lengths 3.4428, 3.4428, 27.5927 Å; angles 90.00, 90.00, 120.00 degrees
Last column: nearest neighbours and their distance in Å.
Space group R-3m (No. 166, hexagonal axes)
Inequivalent atoms, fractional coordinates:
Sr (0.0000, 0.0000, 0.0000) (multiplicity 3)  6 Cr 3.36, 6 Sr 3.44
Cr (0.0000, 0.0000, 0.2350) (multiplicity 6)  3 Cl 2.74
Cl (0.0000, 0.0000, 0.5000) (multiplicity 3)  6 Cr 2.74

Properties
formation energy without anion corrections = 0.696 eV/atom
ΔE to the lowest computed polymorph = 276 meV per atom
Fermi-level density of states = 0.451 states/eV per atom
E_tot = -5.3875 eV/atom

---

No. 2
DFT (GGA-PBEsol) results for a relaxed SrCrCl crystal.

Cell lengths 3.6168, 3.6168, 13.1052 Å; angles 90.00, 90.00, 90.00 degrees
Last column: nearest neighbours and their distance in Å.
Space group I4mm (No. 107)
Inequivalent atoms, fractional coordinates:
Sr (0.0000, 0.0000, 0.0000) (multiplicity 2)  4 Cl 2.97
Cr (0.0000, 0.0000, 0.6773) (multiplicity 2)  4 Sr 3.45, 4 Cr 3.62, 5 Cl 3.73-3.83
Cl (0.0000, 0.0000, 0.3846) (multiplicity 2)  4 Sr 2.97

Properties
formation energy without anion corrections = -0.145 eV/atom
Fermi-level density of states = 0.363 states/eV per atom
E_tot = -4.8413 eV/atom

---

No. 3
DFT (GGA-PBEsol) results for a relaxed Tb8CrTe13Cl crystal.

Cell lengths 4.1293, 26.1180, 23.4044 Å; angles 90.00, 90.00, 90.00 degrees
Last column: nearest neighbours and their distance in Å.
Space group Cmc2_1 (No. 36)
Inequivalent atoms, fractional coordinates:
Tb (0.0000, 0.0161, 0.0000) (multiplicity 4)  1 Cl 3.09, 7 Te 3.10-3.26
Tb (0.0000, 0.0526, 0.6661) (multiplicity 4)  7 Te 3.08-3.27
Tb (0.0000, 0.1061, 0.8389) (multiplicity 4)  1 Cl 2.90, 7 Te 3.09-3.15
Tb (0.0000, 0.1487, 0.5054) (multiplicity 4)  8 Te 3.10-3.35
Tb (0.0000, 0.2747, 0.8174) (multiplicity 4)  8 Te 3.08-3.39
Tb (0.0000, 0.3077, 0.4908) (multiplicity 4)  7 Te 3.04-3.11
Tb (0.0000, 0.3677, 0.6575) (multiplicity 4)  7 Te 3.09-3.26
Tb (0.0000, 0.4395, 0.8248) (multiplicity 4)  2 Cl 2.78
Cr (0.0000, 0.2910, 0.1643) (multiplicity 4)  6 Te 2.66-2.72
Te (0.0000, 0.0618, 0.2223) (multiplicity 4)  5 Tb 3.15-3.27
Te (0.0000, 0.1290, 0.0592) (multiplicity 4)  5 Tb 3.09-3.26
Te (0.0000, 0.1447, 0.3648) (multiplicity 4)  5 Tb 3.15-3.29
Te (0.0000, 0.1729, 0.7275) (multiplicity 4)  2 Cr 2.71
Te (0.0000, 0.2020, 0.2209) (multiplicity 4)  1 Cr 2.68
Te (0.0000, 0.2447, 0.6002) (multiplicity 4)  2 Cr 2.72
Te (0.0000, 0.2739, 0.9568) (multiplicity 4)  5 Tb 3.07-3.26
Te (0.0000, 0.3052, 0.3578) (multiplicity 4)  5 Tb 3.08-3.13, 1 Te 3.43
Te (0.0000, 0.3768, 0.1030) (multiplicity 4)  1 Cr 2.66
Te (0.0000, 0.4152, 0.4379) (multiplicity 4)  5 Tb 3.07-3.15, 1 Te 3.43
Te (0.0000, 0.4324, 0.9622) (multiplicity 4)  5 Tb 3.13-3.22, 2 Cl 3.46
Te (0.0000, 0.4505, 0.2637) (multiplicity 4)  5 Tb 3.08-3.21
Te (0.0000, 0.4817, 0.6013) (multiplicity 4)  5 Tb 3.14-3.26
Cl (0.0000, 0.0014, 0.3693) (multiplicity 4)  4 Tb 2.78-3.09

Properties
formation energy without anion corrections = -1.341 eV/atom
Fermi-level density of states = 0.135 states/eV per atom
E_tot = -5.6090 eV/atom

---

No. 4
DFT (GGA-PBEsol) results for a relaxed CrTc2Cl crystal.

Cell lengths 2.9018, 3.6793, 6.4413 Å; angles 90.00, 90.00, 90.00 degrees
Last column: nearest neighbours and their distance in Å.
Space group Pmm2 (No. 25)
Inequivalent atoms, fractional coordinates:
Cr (0.0000, 0.0000, 0.0000) (multiplicity 1)  1 Tc 2.14
Tc (0.0000, 0.0000, 0.3319) (multiplicity 1)  1 Cr 2.14
Tc (0.5000, 0.5000, 0.1559) (multiplicity 1)  1 Cl 2.36, 4 Cr 2.55, 4 Tc 2.60
Cl (0.5000, 0.5000, 0.7901) (multiplicity 1)  1 Tc 2.36

Properties
formation energy without anion corrections = 0.499 eV/atom
ΔE to the lowest computed polymorph = 193 meV per atom
Fermi-level density of states = 0.866 states/eV per atom
E_tot = -8.1968 eV/atom

---

No. 5
DFT (GGA-PBEsol) results for a relaxed CrTc2Cl crystal.

Cell lengths 2.8083, 4.2710, 4.4519 Å; angles 90.00, 90.00, 90.00 degrees
Last column: nearest neighbours and their distance in Å.
Space group Pmmm (No. 47)
Inequivalent atoms, fractional coordinates:
Cr (0.0000, 0.0000, 0.0000) (multiplicity 1)  4 Tc 2.56, 4 Cl 2.63, 2 Cr 2.81
Tc (0.0000, 0.5000, 0.5000) (multiplicity 1)  4 Cl 2.56, 6 Tc 2.63-2.81
Tc (0.5000, 0.5000, 0.0000) (multiplicity 1)  4 Cr 2.56, 6 Tc 2.63-2.81
Cl (0.5000, 0.0000, 0.5000) (multiplicity 1)  4 Tc 2.56, 4 Cr 2.63, 2 Cl 2.81

Properties
formation energy without anion corrections = 0.700 eV/atom
ΔE to the lowest computed polymorph = 395 meV per atom
Fermi-level density of states = 0.949 states/eV per atom
E_tot = -7.9951 eV/atom

---

No. 6
DFT (GGA-PBEsol) results for a relaxed Cr4TcCl crystal.

Cell lengths 6.7147, 6.7147, 6.7147 Å; angles 90.00, 90.00, 90.00 degrees
Last column: nearest neighbours and their distance in Å.
Space group F-43m (No. 216)
Inequivalent atoms, fractional coordinates:
Cr (0.1245, 0.1245, 0.1245) (multiplicity 16)  6 Cr 2.36-2.38
Tc (0.0000, 0.0000, 0.5000) (multiplicity 4)  12 Cr 2.78, 4 Cl 2.91
Cl (0.2500, 0.2500, 0.7500) (multiplicity 4)  12 Cr 2.78, 4 Tc 2.91

Properties
formation energy without anion corrections = 0.799 eV/atom
Fermi-level density of states = 1.315 states/eV per atom
E_tot = -8.2417 eV/atom

---

No. 7
DFT (GGA-PBEsol) results for a relaxed CrTc2Cl crystal.

Cell lengths 2.8679, 2.8679, 6.4556 Å; angles 90.00, 90.00, 90.00 degrees
Last column: nearest neighbours and their distance in Å.
Space group P4/mmm (No. 123)
Inequivalent atoms, fractional coordinates:
Cr (0.0000, 0.0000, 0.0000) (multiplicity 1)  8 Tc 2.51
Tc (0.5000, 0.5000, 0.2302) (multiplicity 2)  4 Cr 2.51, 4 Cl 2.67
Cl (0.0000, 0.0000, 0.5000) (multiplicity 1)  8 Tc 2.67, 4 Cl 2.87

Properties
formation energy without anion corrections = 0.306 eV/atom
ΔE to the lowest computed polymorph = 0 meV per atom
Fermi-level density of states = 0.692 states/eV per atom
E_tot = -8.3899 eV/atom

---

No. 8
DFT (GGA-PBEsol) results for a relaxed CrTc2Cl crystal.

Cell lengths 5.9882, 5.9882, 5.9882 Å; angles 90.00, 90.00, 90.00 degrees
Last column: nearest neighbours and their distance in Å.
Space group F-43m (No. 216)
Inequivalent atoms, fractional coordinates:
Cr (0.0000, 0.0000, 0.0000) (multiplicity 4)  4 Cl 2.59, 4 Tc 2.59
Tc (0.0000, 0.0000, 0.5000) (multiplicity 4)  4 Cl 2.59, 4 Tc 2.59
Tc (0.2500, 0.2500, 0.2500) (multiplicity 4)  4 Cr 2.59, 4 Tc 2.59
Cl (0.2500, 0.2500, 0.7500) (multiplicity 4)  4 Cr 2.59, 4 Tc 2.59

Properties
formation energy without anion corrections = 0.898 eV/atom
ΔE to the lowest computed polymorph = 593 meV per atom
Fermi-level density of states = 1.383 states/eV per atom
E_tot = -7.7972 eV/atom

---

No. 9
DFT (GGA-PBEsol) results for a relaxed CrTc2Cl crystal.

Cell lengths 2.8035, 3.9239, 5.0346 Å; angles 90.00, 103.48, 90.00 degrees
Last column: nearest neighbours and their distance in Å.
Space group P2/m (No. 10)
Inequivalent atoms, fractional coordinates:
Cr (0.0000, 0.0000, 0.0000) (multiplicity 1)  2 Cl 2.52, 8 Tc 2.62-2.78, 2 Cr 2.80
Tc (0.3420, 0.5000, 0.7532) (multiplicity 2)  2 Cl 2.41, 1 Tc 2.44, 2 Cr 2.62
Cl (0.0000, 0.0000, 0.5000) (multiplicity 1)  4 Tc 2.41, 2 Cr 2.52

Properties
formation energy without anion corrections = 0.532 eV/atom
ΔE to the lowest computed polymorph = 226 meV per atom
Fermi-level density of states = 1.023 states/eV per atom
E_tot = -8.1635 eV/atom

---

No. 10
DFT (GGA-PBEsol) results for a relaxed Cr2TcCl crystal.

Cell lengths 2.9107, 4.6699, 7.9385 Å; angles 90.00, 90.00, 90.00 degrees
Last column: nearest neighbours and their distance in Å.
Space group Cmm2 (No. 35)
Inequivalent atoms, fractional coordinates:
Cr (0.0000, 0.0000, 0.0000) (multiplicity 2)  2 Cr 2.31, 2 Tc 2.40
Cr (0.0000, 0.5000, 0.2258) (multiplicity 2)  2 Cr 2.31, 2 Cl 2.39
Tc (0.0000, 0.5000, 0.7597) (multiplicity 2)  2 Cr 2.40
Cl (0.0000, 0.0000, 0.4642) (multiplicity 2)  2 Cr 2.39

Properties
formation energy without anion corrections = 0.460 eV/atom
Fermi-level density of states = 1.068 states/eV per atom
E_tot = -7.9792 eV/atom

---

No. 11
DFT (GGA-PBEsol) results for a relaxed CrTc2Cl crystal.

Cell lengths 9.5990, 2.8485, 4.1177 Å; angles 90.00, 92.74, 90.00 degrees
Last column: nearest neighbours and their distance in Å.
Space group C2/m (No. 12)
Inequivalent atoms, fractional coordinates:
Cr (0.0000, 0.0000, 0.0000) (multiplicity 2)  4 Cl 2.50, 4 Tc 2.60
Tc (0.2104, 0.5000, 0.2224) (multiplicity 4)  1 Cl 2.37, 2 Tc 2.47, 2 Cr 2.60
Cl (0.0000, 0.5000, 0.5000) (multiplicity 2)  2 Tc 2.37, 4 Cr 2.50

Properties
formation energy without anion corrections = 0.455 eV/atom
ΔE to the lowest computed polymorph = 149 meV per atom
Fermi-level density of states = 0.627 states/eV per atom
E_tot = -8.2410 eV/atom

---

No. 12
DFT (GGA-PBEsol) results for a relaxed CrTeCl crystal.

Cell lengths 3.6327, 3.6327, 6.4041 Å; angles 90.00, 90.00, 120.00 degrees
Last column: nearest neighbours and their distance in Å.
Space group P3m1 (No. 156)
Inequivalent atoms, fractional coordinates:
Cr (0.0000, 0.0000, 0.0000) (multiplicity 1)  3 Cl 2.49, 3 Te 2.63
Te (0.3333, 0.6667, 0.7518) (multiplicity 1)  3 Cr 2.63
Cl (0.6667, 0.3333, 0.2108) (multiplicity 1)  3 Cr 2.49

Properties
formation energy without anion corrections = -0.523 eV/atom
E_tot = -5.7818 eV/atom

---

No. 13
DFT (GGA-PBEsol) results for a relaxed CrTe2Cl crystal.

Cell lengths 4.1498, 4.1498, 5.7822 Å; angles 90.00, 90.00, 90.00 degrees
Last column: nearest neighbours and their distance in Å.
Space group P4/mmm (No. 123)
Inequivalent atoms, fractional coordinates:
Cr (0.0000, 0.0000, 0.0000) (multiplicity 1)  4 Cl 2.93
Te (0.0000, 0.5000, 0.5000) (multiplicity 2)  4 Te 2.93
Cl (0.5000, 0.5000, 0.0000) (multiplicity 1)  4 Cr 2.93

Properties
formation energy without anion corrections = 0.278 eV/atom
ΔE to the lowest computed polymorph = 90 meV per atom
Fermi-level density of states = 0.871 states/eV per atom
E_tot = -4.5474 eV/atom

---

No. 14
DFT (GGA-PBEsol) results for a relaxed CrTeCl2 crystal.

Cell lengths 6.7851, 6.7851, 6.7851 Å; angles 90.00, 90.00, 90.00 degrees
Last column: nearest neighbours and their distance in Å.
Space group F-43m (No. 216)
Inequivalent atoms, fractional coordinates:
Cr (0.0000, 0.0000, 0.0000) (multiplicity 4)  4 Cl 2.94, 4 Te 2.94
Te (0.2500, 0.2500, 0.7500) (multiplicity 4)  4 Cr 2.94, 4 Cl 2.94
Cl (0.0000, 0.0000, 0.5000) (multiplicity 4)  4 Te 2.94, 4 Cl 2.94
Cl (0.2500, 0.2500, 0.2500) (multiplicity 4)  4 Cl 2.94, 4 Cr 2.94

Properties
formation energy without anion corrections = 0.169 eV/atom
ΔE to the lowest computed polymorph = 604 meV per atom
Fermi-level density of states = 0.819 states/eV per atom
E_tot = -4.2771 eV/atom